1.
Be3InI: optimized geometry, PBE-GGA.

Cell and atoms, written as CIF:
```
data_Be3InI
_chemical_formula_sum 'Be3 In1 I1'
_cell_length_a 4.828
_cell_length_b 4.828
_cell_length_c 4.828
_cell_angle_alpha 90.00
_cell_angle_beta 90.00
_cell_angle_gamma 90.00
_symmetry_space_group_name_H-M 'P m -3 m'
_symmetry_Int_Tables_number 221
_symmetry_space_group_name_Hall '-P 4 2 3'
loop_
_atom_site_label
_atom_site_fract_x
_atom_site_fract_y
_atom_site_fract_z
Be1 0.000 0.000 0.500
In1 0.500 0.500 0.500
I1 0.000 0.000 0.000
```

## Properties
Total magnetization, μB per atom: 0.000
Offset from the most stable computed form, eV per atom: 0.562
Raw total energy, eV/atom: -1.57
Energy relative to the elements, uncorrected, eV per atom: 1.52

=====

2.
Be2InI8: optimized geometry, PBE-GGA.

Cell and atoms, written as CIF:
```
data_Be2InI8
_chemical_formula_sum 'Be4 In2 I16'
_cell_length_a 11.544
_cell_length_b 13.053
_cell_length_c 6.886
_cell_angle_alpha 90.00
_cell_angle_beta 101.50
_cell_angle_gamma 90.00
_symmetry_space_group_name_H-M 'C 1 2/m 1'
_symmetry_Int_Tables_number 12
_symmetry_space_group_name_Hall '-C 2y'
loop_
_atom_site_label
_atom_site_fract_x
_atom_site_fract_y
_atom_site_fract_z
Be1 0.217 0.000 0.179
In1 0.000 0.000 0.500
I1 0.069 0.500 0.735
I2 0.123 0.149 0.290
I3 0.218 0.000 0.825
```

## Properties
Total magnetization, μB per atom: 0.071
Raw total energy, eV/atom: -2.46
Energy relative to the elements, uncorrected, eV per atom: -0.41

=====

3.
BeInI3: optimized geometry, PBE-GGA.

Cell and atoms, written as CIF:
```
data_BeInI3
_chemical_formula_sum 'Be4 In4 I12'
_cell_length_a 9.115
_cell_length_b 8.003
_cell_length_c 11.197
_cell_angle_alpha 90.00
_cell_angle_beta 90.00
_cell_angle_gamma 90.00
_symmetry_space_group_name_H-M 'P n a 21'
_symmetry_Int_Tables_number 33
_symmetry_space_group_name_Hall 'P 2c -2n'
loop_
_atom_site_label
_atom_site_fract_x
_atom_site_fract_y
_atom_site_fract_z
Be1 0.146 0.112 0.000
In1 0.135 0.557 0.817
I1 0.005 0.860 0.336
I2 0.174 0.333 0.133
I3 0.218 0.373 0.532
```

## Properties
Total magnetization, μB per atom: 0.000
Offset from the most stable computed form, eV per atom: 0.000
Raw total energy, eV/atom: -2.71
Energy relative to the elements, uncorrected, eV per atom: -0.48

=====

4.
BeInI2: optimized geometry, PBE-GGA.

Cell and atoms, written as CIF:
```
data_BeInI2
_chemical_formula_sum 'Be4 In4 I8'
_cell_length_a 7.889
_cell_length_b 7.889
_cell_length_c 7.889
_cell_angle_alpha 90.00
_cell_angle_beta 90.00
_cell_angle_gamma 90.00
_symmetry_space_group_name_H-M 'F m -3 m'
_symmetry_Int_Tables_number 225
_symmetry_space_group_name_Hall '-F 4 2 3'
loop_
_atom_site_label
_atom_site_fract_x
_atom_site_fract_y
_atom_site_fract_z
Be1 0.000 0.000 0.000
In1 0.000 0.000 0.500
I1 0.250 0.250 0.250
```

## Properties
Total magnetization, μB per atom: 0.000
Offset from the most stable computed form, eV per atom: 0.358
Raw total energy, eV/atom: -1.95
Energy relative to the elements, uncorrected, eV per atom: 0.44

=====

5.
BeInI3: optimized geometry, PBE-GGA.

Cell and atoms, written as CIF:
```
data_BeInI3
_chemical_formula_sum 'Be1 In1 I3'
_cell_length_a 5.929
_cell_length_b 5.929
_cell_length_c 5.929
_cell_angle_alpha 90.00
_cell_angle_beta 90.00
_cell_angle_gamma 90.00
_symmetry_space_group_name_H-M 'P m -3 m'
_symmetry_Int_Tables_number 221
_symmetry_space_group_name_Hall '-P 4 2 3'
loop_
_atom_site_label
_atom_site_fract_x
_atom_site_fract_y
_atom_site_fract_z
Be1 0.000 0.000 0.000
In1 0.500 0.500 0.500
I1 0.000 0.500 0.500
```

## Properties
Total magnetization, μB per atom: 0.033
Offset from the most stable computed form, eV per atom: 0.907
Raw total energy, eV/atom: -1.80
Energy relative to the elements, uncorrected, eV per atom: 0.42

=====

6.
BeInI3: optimized geometry, PBE-GGA.

Cell and atoms, written as CIF:
```
data_BeInI3
_chemical_formula_sum 'Be1 In1 I3'
_cell_length_a 5.417
_cell_length_b 5.417
_cell_length_c 5.417
_cell_angle_alpha 90.00
_cell_angle_beta 90.00
_cell_angle_gamma 90.00
_symmetry_space_group_name_H-M 'P m -3 m'
_symmetry_Int_Tables_number 221
_symmetry_space_group_name_Hall '-P 4 2 3'
loop_
_atom_site_label
_atom_site_fract_x
_atom_site_fract_y
_atom_site_fract_z
Be1 0.000 0.000 0.000
In1 0.500 0.500 0.500
I1 0.000 0.000 0.500
```

## Properties
Total magnetization, μB per atom: 0.000
Offset from the most stable computed form, eV per atom: 0.283
Raw total energy, eV/atom: -2.42
Energy relative to the elements, uncorrected, eV per atom: -0.20

=====

7.
BeIn2I4: optimized geometry, PBE-GGA.

Cell and atoms, written as CIF:
```
data_BeIn2I4
_chemical_formula_sum 'Be2 In4 I8'
_cell_length_a 7.613
_cell_length_b 7.847
_cell_length_c 9.772
_cell_angle_alpha 90.00
_cell_angle_beta 108.52
_cell_angle_gamma 90.00
_symmetry_space_group_name_H-M 'P 1 21/m 1'
_symmetry_Int_Tables_number 11
_symmetry_space_group_name_Hall '-P 2yb'
loop_
_atom_site_label
_atom_site_fract_x
_atom_site_fract_y
_atom_site_fract_z
Be1 0.209 0.250 0.291
In1 0.233 0.750 0.549
In2 0.254 0.750 0.069
I1 0.002 0.005 0.230
I2 0.374 0.250 0.547
I3 0.411 0.250 0.143
```

## Properties
Total magnetization, μB per atom: 0.000
Raw total energy, eV/atom: -2.70
Energy relative to the elements, uncorrected, eV per atom: -0.50

=====

8.
BeInI2: optimized geometry, PBE-GGA.

Cell and atoms, written as CIF:
```
data_BeInI2
_chemical_formula_sum 'Be4 In4 I8'
_cell_length_a 7.466
_cell_length_b 7.466
_cell_length_c 10.348
_cell_angle_alpha 90.00
_cell_angle_beta 90.00
_cell_angle_gamma 90.00
_symmetry_space_group_name_H-M 'I -4 2 d'
_symmetry_Int_Tables_number 122
_symmetry_space_group_name_Hall 'I -4 2bw'
loop_
_atom_site_label
_atom_site_fract_x
_atom_site_fract_y
_atom_site_fract_z
Be1 0.000 0.000 0.000
In1 0.000 0.000 0.500
I1 0.128 0.250 0.125
```

## Properties
Total magnetization, μB per atom: 0.000
Offset from the most stable computed form, eV per atom: 0.000
Raw total energy, eV/atom: -2.31
Energy relative to the elements, uncorrected, eV per atom: 0.08

=====

9.
BeIn3I: optimized geometry, PBE-GGA.

Cell and atoms, written as CIF:
```
data_BeIn3I
_chemical_formula_sum 'Be1 In3 I1'
_cell_length_a 5.153
_cell_length_b 5.153
_cell_length_c 5.153
_cell_angle_alpha 90.00
_cell_angle_beta 90.00
_cell_angle_gamma 90.00
_symmetry_space_group_name_H-M 'P m -3 m'
_symmetry_Int_Tables_number 221
_symmetry_space_group_name_Hall '-P 4 2 3'
loop_
_atom_site_label
_atom_site_fract_x
_atom_site_fract_y
_atom_site_fract_z
Be1 0.000 0.000 0.000
In1 0.000 0.000 0.500
I1 0.500 0.500 0.500
```

## Properties
Total magnetization, μB per atom: 0.000
Offset from the most stable computed form, eV per atom: 0.000
Raw total energy, eV/atom: -2.61
Energy relative to the elements, uncorrected, eV per atom: 0.09

=====

10.
Be2In3I8: optimized geometry, PBE-GGA.

Cell and atoms, written as CIF:
```
data_Be2In3I8
_chemical_formula_sum 'Be4 In6 I16'
_cell_length_a 14.656
_cell_length_b 8.210
_cell_length_c 9.729
_cell_angle_alpha 90.00
_cell_angle_beta 111.25
_cell_angle_gamma 90.00
_symmetry_space_group_name_H-M 'C 1 2/m 1'
_symmetry_Int_Tables_number 12
_symmetry_space_group_name_Hall '-C 2y'
loop_
_atom_site_label
_atom_site_fract_x
_atom_site_fract_y
_atom_site_fract_z
Be1 0.139 0.000 0.360
In1 0.000 0.500 0.500
In2 0.137 0.500 0.103
I1 0.034 0.242 0.260
I2 0.171 0.000 0.617
I3 0.228 0.500 0.728
```

## Properties
Total magnetization, μB per atom: 0.000
Raw total energy, eV/atom: -2.58
Energy relative to the elements, uncorrected, eV per atom: -0.42

=====

11.
Be3InI: optimized geometry, PBE-GGA.

Cell and atoms, written as CIF:
```
data_Be3InI
_chemical_formula_sum 'Be3 In1 I1'
_cell_length_a 4.784
_cell_length_b 4.784
_cell_length_c 4.784
_cell_angle_alpha 90.00
_cell_angle_beta 90.00
_cell_angle_gamma 90.00
_symmetry_space_group_name_H-M 'P m -3 m'
_symmetry_Int_Tables_number 221
_symmetry_space_group_name_Hall '-P 4 2 3'
loop_
_atom_site_label
_atom_site_fract_x
_atom_site_fract_y
_atom_site_fract_z
Be1 0.000 0.000 0.500
In1 0.000 0.000 0.000
I1 0.500 0.500 0.500
```

## Properties
Total magnetization, μB per atom: 0.000
Offset from the most stable computed form, eV per atom: 0.000
Raw total energy, eV/atom: -2.13
Energy relative to the elements, uncorrected, eV per atom: 0.96

=====

12.
BeIn3I: optimized geometry, PBE-GGA.

Cell and atoms, written as CIF:
```
data_BeIn3I
_chemical_formula_sum 'Be1 In3 I1'
_cell_length_a 6.341
_cell_length_b 6.341
_cell_length_c 6.341
_cell_angle_alpha 90.00
_cell_angle_beta 90.00
_cell_angle_gamma 90.00
_symmetry_space_group_name_H-M 'P m -3 m'
_symmetry_Int_Tables_number 221
_symmetry_space_group_name_Hall '-P 4 2 3'
loop_
_atom_site_label
_atom_site_fract_x
_atom_site_fract_y
_atom_site_fract_z
Be1 0.000 0.000 0.000
In1 0.000 0.500 0.500
I1 0.500 0.500 0.500
```

## Properties
Total magnetization, μB per atom: 0.000
Offset from the most stable computed form, eV per atom: 0.934
Raw total energy, eV/atom: -1.68
Energy relative to the elements, uncorrected, eV per atom: 1.02